# MgScTa4

Crystalline MgScTa4 at its relaxed geometry (GGA-PBE, Alexandria via LeMat-Bulk).

Computed properties:
- SG = F-43m, No. 216
- energy relative to the elements (eV/atom) = 0.292
- total energy (eV per atom) = -8.931
- magnetic moment (μB/f.u.) = 0.0

abc: 5.588 5.588 5.588
angles: 60.00 60.00 60.00
Fractional positions:
Ta 0.373 0.373 0.880
Ta 0.373 0.373 0.373
Ta 0.880 0.373 0.373
Ta 0.373 0.880 0.373
Sc 0.000 0.000 0.000
Mg 0.750 0.750 0.750